The following is a DFT calculation (PBE) of ZnHgPO after structural relaxation.

Cell lengths 4.0912, 4.0912, 9.1698 Å; angles 90.00, 90.00, 90.00 degrees
Element x y z (fractional)
O 0.0000 0.0000 0.0000
O 0.5000 0.5000 0.0000
Hg 0.0000 0.0000 0.5000
Hg 0.5000 0.5000 0.5000
P 0.0000 0.5000 0.6841
P 0.5000 0.0000 0.3159
Zn 0.0000 0.5000 0.9549
Zn 0.5000 0.0000 0.0451

Results
E_tot: -0.231 Ry per atom
Space-group type: P4/nmm